(1)
First-principles (PBE-GGA) data for a geometry-optimized La2PmErTe5 structure, as listed in Alexandria via LeMat-Bulk.

a b c (Å): 5.480 5.480 11.716
angles (deg): 90.00 90.00 90.00
Each line ends with the local moment (μB).
Fractional positions:
Te 0.500 0.500 0.000  0.01
La 0.500 0.500 0.672  0.29
Pm 0.000 0.000 0.000  0.02
La 0.500 0.500 0.328  0.29
Te 0.500 0.000 0.500  -0.01
Er 0.000 0.000 0.500  0.04
Te 0.000 0.000 0.751  0.00
Te 0.000 0.500 0.500  -0.01
Te 0.000 0.000 0.249  0.00

Spin magnetization in μB/cell: 1.12
Formation energy from raw total energies in eV per atom: -0.992
Space-group type: P4/mmm, No. 123

(2)
First-principles (PBE-GGA) data for a geometry-optimized LaMoPt2 structure, as listed in Alexandria via LeMat-Bulk.

a b c (Å): 5.136 6.645 3.004
angles (deg): 63.10 90.01 120.97
Fractional positions:
Mo 0.500 0.000 0.500
Pt 0.000 0.500 0.500
Pt 0.000 0.000 0.000
La 0.500 0.500 0.000

Spin magnetization in μB/cell: 0.00
Relative energy among the computed polymorphs in eV/atom: 0.235
ΔE_f in eV/atom: -0.27
Space-group type: Cmmm, No. 65

(3)
First-principles (PBE-GGA) data for a geometry-optimized RbCeSiN3 structure, as listed in Alexandria via LeMat-Bulk.

a b c (Å): 3.462 8.256 8.478
angles (deg): 103.02 90.00 90.00
Fractional positions:
N 0.250 0.879 0.480
Ce 0.250 0.636 0.153
N 0.750 0.121 0.520
Si 0.250 0.084 0.603
N 0.750 0.846 0.195
Ce 0.750 0.364 0.847
N 0.750 0.455 0.118
N 0.250 0.545 0.882
Si 0.750 0.916 0.397
Rb 0.250 0.178 0.192
Rb 0.750 0.822 0.808
N 0.250 0.154 0.805

Spin magnetization in μB/cell: 0.00
Formation energy from raw total energies in eV per atom: -0.820
Space-group type: P2_1/m, No. 11

(4)
First-principles (PBE-GGA) data for a geometry-optimized SrDy2US8 structure, as listed in Alexandria via LeMat-Bulk.

a b c (Å): 6.743 5.599 8.384
angles (deg): 89.79 90.01 89.11
Fractional positions:
S 0.853 0.257 0.779
Dy 0.500 0.499 0.770
S 0.566 0.826 0.500
S 0.668 0.756 0.999
S 0.149 0.745 0.781
Dy 0.500 0.501 0.230
S 0.332 0.244 0.001
S 0.147 0.743 0.221
U 0.000 0.000 0.000
S 0.851 0.255 0.219
Sr 0.000 0.000 0.500
S 0.434 0.174 0.500

Spin magnetization in μB/cell: 0.00
Formation energy from raw total energies in eV per atom: -1.431
Space-group type: P-1, No. 2

(5)
First-principles (PBE-GGA) data for a geometry-optimized TlIrPbO4 structure, as listed in Alexandria via LeMat-Bulk.

a b c (Å): 6.449 6.887 7.602
angles (deg): 123.50 90.00 117.92
Fractional positions:
Tl 0.142 0.284 0.892
Tl 0.858 0.716 0.108
O 0.747 0.493 0.332
O 0.747 0.493 0.661
Ir 0.000 0.500 0.500
O 0.253 0.507 0.339
O 0.224 0.919 0.710
O 0.305 0.081 0.290
Pb 0.500 0.000 0.000
O 0.695 0.919 0.710
O 0.253 0.507 0.668
Pb 0.500 0.000 0.500
Ir 0.500 0.500 0.500
O 0.776 0.081 0.290

Spin magnetization in μB/cell: 0.00
Formation energy from raw total energies in eV per atom: -0.845
Space-group type: Imma, No. 74

(6)
First-principles (PBE-GGA) data for a geometry-optimized ThHI structure, as listed in Alexandria via LeMat-Bulk.

a b c (Å): 3.878 3.877 11.606
angles (deg): 104.11 88.62 111.46
Fractional positions:
I 0.680 0.160 0.827
H 0.758 0.257 0.500
H 0.242 0.743 0.500
Th 0.289 0.343 0.627
Th 0.711 0.657 0.373
I 0.320 0.840 0.173

Spin magnetization in μB/cell: 0.00
Total energy in eV/atom: -4.80
Space-group type: P-1, No. 2

(7)
First-principles (PBE-GGA) data for a geometry-optimized CeNb2NiP4 structure, as listed in Alexandria via LeMat-Bulk.

a b c (Å): 3.679 6.349 12.531
angles (deg): 90.00 90.00 106.84
Fractional positions:
Nb 0.637 0.275 0.437
P 0.000 0.000 0.500
P 0.558 0.116 0.250
P 0.000 0.000 0.000
Ni 0.844 0.689 0.750
P 0.442 0.884 0.750
Nb 0.363 0.725 0.563
Ce 0.112 0.223 0.750
P 0.724 0.448 0.619
Nb 0.363 0.725 0.937
P 0.724 0.448 0.881
Ce 0.888 0.777 0.250
Nb 0.637 0.275 0.063
P 0.276 0.552 0.119
P 0.276 0.552 0.381
Ni 0.156 0.311 0.250

Spin magnetization in μB/cell: 0.00
ΔE_f in eV/atom: -0.84
Space-group type: Cmcm, No. 63

(8)
First-principles (PBE-GGA) data for a geometry-optimized CsCu7F12 structure, as listed in Alexandria via LeMat-Bulk.

a b c (Å): 6.905 6.905 6.905
angles (deg): 109.47 109.47 109.47
Each line ends with the local moment (μB).
Fractional positions:
F 0.179 0.855 0.676  0.07
Cs 0.000 0.000 0.000  0.00
Cu 0.000 0.500 0.000  0.44
F 0.179 0.503 0.324  0.07
F 0.324 0.821 0.145  0.07
F 0.503 0.324 0.179  0.07
Cu 0.500 0.000 0.000  0.44
Cu 0.000 0.500 0.500  0.49
Cu 0.500 0.500 0.500  0.44
Cu 0.500 0.000 0.500  0.49
F 0.145 0.324 0.821  0.07
F 0.324 0.179 0.503  0.07
Cu 0.000 0.000 0.500  0.44
F 0.821 0.145 0.324  0.07
F 0.855 0.676 0.179  0.07
Cu 0.500 0.500 0.000  0.49
F 0.497 0.676 0.821  0.07
F 0.676 0.179 0.855  0.07
F 0.821 0.497 0.676  0.07
F 0.676 0.821 0.497  0.07

Spin magnetization in μB/cell: 4.02
Formation energy from raw total energies in eV per atom: -1.515
Space-group type: Im-3, No. 204

(9)
First-principles (PBE-GGA) data for a geometry-optimized TmGa2Pt structure, as listed in Alexandria via LeMat-Bulk.

a b c (Å): 4.387 4.101 4.101
angles (deg): 90.00 90.00 90.00
Fractional positions:
Ga 0.000 0.000 0.500
Ga 0.000 0.500 0.000
Tm 0.500 0.500 0.500
Pt 0.500 0.000 0.000

Spin magnetization in μB/cell: 0.00
ΔE_f in eV/atom: -0.70
Space-group type: P4/mmm, No. 123

(10)
First-principles (PBE-GGA) data for a geometry-optimized Al2HgSe3 structure, as listed in Alexandria via LeMat-Bulk.

a b c (Å): 3.898 10.692 10.127
angles (deg): 106.16 101.10 90.00
Fractional positions:
Al 0.954 0.870 0.908
Se 0.417 0.717 0.834
Hg 0.718 0.087 0.436
Al 0.292 0.625 0.583
Al 0.046 0.130 0.092
Se 0.078 0.934 0.157
Al 0.708 0.375 0.417
Se 0.922 0.066 0.843
Hg 0.282 0.913 0.564
Se 0.583 0.283 0.166
Se 0.284 0.384 0.568
Se 0.716 0.616 0.432

Spin magnetization in μB/cell: 0.00
Relative energy among the computed polymorphs in eV/atom: 0.000
Formation energy from raw total energies in eV per atom: -0.658
Space-group type: C2/m, No. 12

(11)
First-principles (PBE-GGA) data for a geometry-optimized LiMo3I structure, as listed in Alexandria via LeMat-Bulk.

a b c (Å): 4.398 4.398 4.398
angles (deg): 90.00 90.00 90.00
Fractional positions:
I 0.500 0.500 0.500
Mo 0.000 0.500 0.000
Li 0.000 0.000 0.000
Mo 0.500 0.000 0.000
Mo 0.000 0.000 0.500

Spin magnetization in μB/cell: 0.00
Relative energy among the computed polymorphs in eV/atom: 0.000
Formation energy from raw total energies in eV per atom: 1.728
Space-group type: Pm-3m, No. 221

(12)
First-principles (PBE-GGA) data for a geometry-optimized Sc2InIr structure, as listed in Alexandria via LeMat-Bulk.

a b c (Å): 4.717 4.717 4.717
angles (deg): 60.00 60.00 60.00
Fractional positions:
Sc 0.000 0.000 0.000
Ir 0.750 0.750 0.750
In 0.500 0.500 0.500
Sc 0.250 0.250 0.250

Spin magnetization in μB/cell: 0.00
ΔE_f in eV/atom: -0.58
Space-group type: F-43m, No. 216

(13)
First-principles (PBE-GGA) data for a geometry-optimized AcRu2RhO8 structure, as listed in Alexandria via LeMat-Bulk.

a b c (Å): 5.230 5.230 7.274
angles (deg): 90.00 90.00 120.00
Each line ends with the local moment (μB).
Fractional positions:
O 0.282 0.988 0.689  0.05
Ru 0.667 0.333 0.286  0.61
O 0.705 0.718 0.689  0.05
O 0.333 0.667 0.970  0.18
O 0.012 0.295 0.689  0.05
O 0.667 0.333 0.030  0.18
O 0.988 0.705 0.311  0.05
Ac 0.000 0.000 0.000  0.02
O 0.295 0.282 0.311  0.05
O 0.718 0.012 0.311  0.05
Ru 0.333 0.667 0.714  0.61
Rh 0.000 0.000 0.500  -0.05

Spin magnetization in μB/cell: 2.04
Formation energy from raw total energies in eV per atom: -1.213
Space-group type: P-3, No. 147

(14)
First-principles (PBE-GGA) data for a geometry-optimized Sc2As2W structure, as listed in Alexandria via LeMat-Bulk.

a b c (Å): 6.799 6.799 3.827
angles (deg): 90.00 90.00 90.00
Fractional positions:
Sc 0.166 0.666 0.500
As 0.858 0.642 0.000
As 0.642 0.142 0.000
W 0.000 0.000 0.000
Sc 0.334 0.166 0.500
As 0.358 0.858 0.000
W 0.500 0.500 0.000
Sc 0.834 0.334 0.500
As 0.142 0.358 0.000
Sc 0.666 0.834 0.500

Spin magnetization in μB/cell: 0.00
ΔE_f in eV/atom: -0.71
Space-group type: P4/mbm, No. 127

(15)
First-principles (PBE-GGA) data for a geometry-optimized Ru5Rh7 structure, as listed in Alexandria via LeMat-Bulk.

a b c (Å): 3.830 5.417 8.568
angles (deg): 108.43 90.00 90.00
Fractional positions:
Ru 0.500 0.000 0.000
Ru 0.000 0.000 0.500
Rh 0.000 0.329 0.167
Ru 0.500 0.833 0.666
Rh 0.500 0.330 0.659
Rh 0.000 0.671 0.833
Rh 0.000 0.162 0.833
Ru 0.000 0.500 0.500
Rh 0.500 0.670 0.341
Rh 0.500 0.500 0.000
Ru 0.500 0.167 0.334
Rh 0.000 0.838 0.167

Spin magnetization in μB/cell: 0.00
Relative energy among the computed polymorphs in eV/atom: 0.000
ΔE_f in eV/atom: 0.03
Space-group type: Cmmm, No. 65

(16)
First-principles (PBE-GGA) data for a geometry-optimized PrErPb2 structure, as listed in Alexandria via LeMat-Bulk.

a b c (Å): 3.581 3.581 9.098
angles (deg): 90.00 90.00 90.00
Fractional positions:
Pb 0.000 0.000 0.239
Pr 0.500 0.500 0.500
Er 0.500 0.500 0.000
Pb 0.000 0.000 0.761

Spin magnetization in μB/cell: 0.00
ΔE_f in eV/atom: -0.46
Space-group type: P4/mmm, No. 123

(17)
First-principles (PBE-GGA) data for a geometry-optimized Sm2TcMoN5 structure, as listed in Alexandria via LeMat-Bulk.

a b c (Å): 3.407 6.982 9.936
angles (deg): 90.00 90.00 104.12
Fractional positions:
N 0.047 0.093 0.058
Sm 0.138 0.277 0.304
Mo 0.445 0.889 0.460
N 0.706 0.412 0.139
N 0.953 0.907 0.558
Sm 0.862 0.723 0.804
N 0.642 0.284 0.506
N 0.688 0.377 0.870
Tc 0.210 0.420 0.017
N 0.500 0.001 0.790
N 0.500 0.999 0.290
Sm 0.121 0.241 0.680
Mo 0.555 0.111 0.960
Tc 0.790 0.580 0.517
N 0.358 0.716 0.006
N 0.312 0.623 0.370
Sm 0.879 0.759 0.180
N 0.294 0.588 0.639

Spin magnetization in μB/cell: 0.00
Formation energy from raw total energies in eV per atom: -0.759
Space-group type: Cmc2_1, No. 36

(18)
First-principles (PBE-GGA) data for a geometry-optimized CuSiRh2 structure, as listed in Alexandria via LeMat-Bulk.

a b c (Å): 5.116 5.116 5.116
angles (deg): 147.69 131.73 59.28
Fractional positions:
Rh 0.999 0.999 0.000
Rh 0.719 0.219 0.500
Cu 0.279 0.779 0.500
Si 0.503 0.503 0.000

Spin magnetization in μB/cell: 0.00
Formation energy from raw total energies in eV per atom: -0.343
Space-group type: Imm2, No. 44

(19)
First-principles (PBE-GGA) data for a geometry-optimized Sc2CrIr structure, as listed in Alexandria via LeMat-Bulk.

a b c (Å): 9.441 9.441 9.441
angles (deg): 18.10 18.10 18.10
Each line ends with the local moment (μB).
Fractional positions:
Cr 0.493 0.493 0.493  1.37
Sc 0.240 0.240 0.240  -0.22
Ir 0.757 0.757 0.757  -0.01
Sc 0.010 0.010 0.010  -0.09

Spin magnetization in μB/cell: 1.03
ΔE_f in eV/atom: 0.17
Space-group type: R3m, No. 160

(20)
First-principles (PBE-GGA) data for a geometry-optimized Ca2FeSb structure, as listed in Alexandria via LeMat-Bulk.

a b c (Å): 4.795 4.797 7.373
angles (deg): 81.35 81.38 42.17
Each line ends with the local moment (μB).
Fractional positions:
Fe 0.750 0.750 0.750  2.89
Ca 0.000 0.000 0.989  -0.05
Ca 0.500 0.500 0.511  -0.05
Sb 0.250 0.250 0.250  0.04

Spin magnetization in μB/cell: 2.70
Formation energy from raw total energies in eV per atom: 0.097
Space-group type: C2/m, No. 12